A geometry-optimized MnVHgI6 structure, computed with PBE-GGA.

Calculated values
- Total magnetization: 6.2 μB per formula unit
- E_form (uncorrected): -3.049 eV per formula unit
- Energy: -3.44 eV per atom

Cell: 7.2602 7.2602 7.4243 Å, 90.00 90.00 120.00°
Space group P312 (No. 149)
Unique sites:
Mn: 0.0000 0.0000 0.0000 (multiplicity 1)
V: 0.3333 0.6667 0.0000 (multiplicity 1)
Hg: 0.6667 0.3333 0.5000 (multiplicity 1)
I: 0.0382 0.3398 0.2147 (multiplicity 6)